1.
{
  "formula": "Tb2NdEr12",
  "functional": "PBE",
  "state": "relaxed",
  "magmom_total_mub_per_atom": 0.0000,
  "e_form_mev_per_atom": 114,
  "final_energy_ev_per_atom": -4.47,
  "lattice_angstrom": [[3.531, -5.533, 0.000], [3.531, 5.533, 0.000], [-1.744, 0.000, 24.128]],
  "species": ["Tb", "Tb", "Tb", "Tb", "Nd", "Nd", "Er", "Er", "Er", "Er", "Er", "Er", "Er", "Er", "Er", "Er", "Er", "Er", "Er", "Er", "Er", "Er", "Er", "Er", "Er", "Er", "Er", "Er", "Er", "Er"],
  "frac_coords": [[0.067, 0.067, 0.273], [0.431, 0.431, 0.727], [0.569, 0.569, 0.273], [0.933, 0.933, 0.727], [0.250, 0.250, 0.000], [0.750, 0.750, 0.000], [0.050, 0.550, 0.202], [0.084, 0.582, 0.332], [0.140, 0.636, 0.555], [0.141, 0.141, 0.574], [0.215, 0.215, 0.862], [0.231, 0.731, 0.924], [0.269, 0.769, 0.076], [0.285, 0.285, 0.138], [0.356, 0.356, 0.428], [0.364, 0.860, 0.445], [0.418, 0.916, 0.668], [0.450, 0.950, 0.798], [0.550, 0.050, 0.202], [0.582, 0.084, 0.332], [0.636, 0.140, 0.555], [0.644, 0.644, 0.572], [0.715, 0.715, 0.862], [0.731, 0.231, 0.924], [0.769, 0.269, 0.076], [0.785, 0.785, 0.138], [0.859, 0.859, 0.426], [0.860, 0.364, 0.445], [0.916, 0.418, 0.668], [0.950, 0.450, 0.798]]
}

2.
{
  "formula": "Tb6Au2S",
  "functional": "PBE",
  "state": "relaxed",
  "magmom_total_mub_per_atom": 0.0000,
  "formation_energy_uncorrected_mev_per_atom": -827,
  "final_energy_ev_per_atom": -5.10,
  "lattice_angstrom": [[6.607, 0.000, 0.000], [0.000, 7.317, 0.000], [-6.102, 0.000, 10.210]],
  "species": ["Tb", "Tb", "Tb", "Tb", "Tb", "Tb", "Tb", "Tb", "Tb", "Tb", "Tb", "Tb", "Au", "Au", "Au", "Au", "S", "S"],
  "frac_coords": [[0.104, 0.195, 0.437], [0.104, 0.305, 0.937], [0.265, 0.673, 0.434], [0.265, 0.827, 0.934], [0.391, 0.029, 0.246], [0.391, 0.471, 0.746], [0.609, 0.529, 0.254], [0.609, 0.971, 0.754], [0.735, 0.173, 0.066], [0.735, 0.327, 0.566], [0.896, 0.695, 0.063], [0.896, 0.805, 0.563], [0.173, 0.111, 0.737], [0.173, 0.389, 0.237], [0.827, 0.611, 0.763], [0.827, 0.889, 0.263], [0.500, 0.000, 0.500], [0.500, 0.500, 0.000]]
}